1.
Ca4ZrTi3Ge4O20, optimized geometry, DFT PBEsol; SG = P-1; magnetization = 0.0 Bohr magnetons per cell; formation energy (no corrections) = -2.68 eV/atom; DOS(E_F) = 0.0 states/eV/f.u.
1.0
6.637 0.000 0.000
0.624 7.888 0.000
0.287 3.008 7.501
Ca Zr Ti Ge O
4 1 3 4 20
Cartesian
1.018 0.899 1.384
2.659 4.692 2.345
4.889 6.204 5.156
6.531 9.997 6.117
3.462 1.504 3.751
0.312 3.944 0.000
2.035 4.273 5.618
5.514 6.623 1.883
1.386 7.133 4.194
3.244 9.207 7.102
4.305 1.689 0.400
6.163 3.763 3.307
0.733 6.528 2.654
0.586 3.429 1.942
1.369 5.284 7.063
2.121 10.518 6.704
2.159 8.618 3.686
2.117 4.723 0.039
2.596 5.909 4.597
2.609 3.303 4.146
3.186 1.991 1.712
3.660 6.702 1.145
3.889 4.195 6.357
4.362 8.905 5.790
4.940 7.593 3.355
4.952 4.987 2.904
5.431 6.173 7.462
5.389 2.278 3.815
5.427 0.378 0.797
6.180 5.612 0.438
6.962 7.467 5.559
6.815 4.368 4.847

---

2.
CaTm2Ge4O12, optimized geometry, DFT PBEsol; SG = Cmme; magnetization = 0.0 Bohr magnetons per cell; formation energy (no corrections) = -2.45 eV/atom; DOS(E_F) = 0.0 states/eV/f.u.
1.0
7.002 -7.015 0.000
7.002 7.015 0.000
0.000 0.000 5.033
Ca Tm Ge O
2 4 8 24
Cartesian
3.501 3.508 0.000
3.501 -3.508 0.000
0.000 0.000 0.000
3.501 0.000 0.000
7.002 0.000 0.000
10.504 0.000 0.000
5.382 5.135 2.538
5.382 1.880 2.538
8.623 5.135 2.538
8.623 1.880 2.538
5.382 -1.880 2.495
5.382 -5.135 2.495
8.623 -1.880 2.495
8.623 -5.135 2.495
1.613 0.778 3.836
2.785 1.763 1.237
7.002 5.306 3.381
5.328 3.508 1.768
1.613 -0.778 1.197
4.217 1.763 3.796
2.785 -1.763 3.796
5.390 0.778 1.197
8.677 3.508 1.768
7.002 1.710 3.381
4.217 -1.763 1.237
5.390 -0.778 3.836
8.615 0.778 1.197
9.787 1.763 3.796
7.002 -1.710 1.652
5.328 -3.508 3.265
8.615 -0.778 3.836
11.220 1.763 1.237
9.787 -1.763 1.237
12.392 0.778 3.836
8.677 -3.508 3.265
7.002 -5.306 1.652
11.220 -1.763 3.796
12.392 -0.778 1.197

---

3.
Ca3Tm2Ge3O12, optimized geometry, DFT PBEsol; SG = Ia-3d; magnetization = 0.0 Bohr magnetons per cell; formation energy (no corrections) = -2.75 eV/atom; DOS(E_F) = 0.0 states/eV/f.u.
1.0
-6.353 6.353 6.353
6.353 -6.353 6.353
6.353 6.353 -6.353
Ca Tm Ge O
12 8 12 48
Cartesian
3.176 1.588 0.000
6.353 3.176 -1.588
1.588 0.000 3.176
7.941 0.000 3.176
0.000 3.176 1.588
3.176 -1.588 6.353
3.176 7.941 0.000
6.353 3.176 4.764
-1.588 6.353 3.176
4.764 6.353 3.176
0.000 3.176 7.941
3.176 4.764 6.353
0.000 0.000 0.000
3.176 3.176 -3.176
3.176 -3.176 3.176
6.353 0.000 0.000
-3.176 3.176 3.176
0.000 6.353 0.000
0.000 0.000 6.353
3.176 3.176 3.176
9.529 1.588 0.000
6.353 -3.176 4.764
4.764 6.353 -3.176
4.764 0.000 3.176
3.176 4.764 0.000
6.353 3.176 1.588
0.000 3.176 4.764
3.176 1.588 6.353
1.588 6.353 3.176
1.588 0.000 9.529
0.000 9.529 1.588
-3.176 4.764 6.353
2.021 -0.446 0.711
7.508 3.887 -3.622
8.373 0.446 0.711
7.508 -2.465 3.622
5.906 -0.711 2.021
9.975 -1.155 2.465
0.711 2.021 -0.446
8.818 2.730 -1.155
3.887 3.622 -1.155
5.642 2.021 0.446
-0.446 0.711 2.021
3.622 -1.155 3.887
5.906 5.642 -2.021
3.622 1.155 2.465
3.887 -3.622 7.508
5.642 -2.021 5.906
2.465 3.622 1.155
7.063 4.332 0.446
3.622 7.508 -2.465
5.906 0.711 4.332
2.021 5.906 -0.711
7.508 2.465 2.730
1.155 2.465 3.622
2.021 0.446 5.642
4.332 5.906 0.711
5.197 3.887 2.730
-1.155 3.887 3.622
4.332 0.446 7.063
0.446 5.642 2.021
2.730 -1.155 8.818
-0.711 2.021 5.906
3.887 2.730 5.197
0.711 8.373 0.446
2.465 9.975 -1.155
2.730 5.197 3.887
0.446 0.711 8.373
2.730 7.508 2.465
6.799 5.642 4.332
0.711 4.332 5.906
2.465 2.730 7.508
-2.465 3.622 7.508
5.642 4.332 6.799
-3.622 7.508 3.887
0.446 7.063 4.332
-1.155 8.818 2.730
-2.021 5.906 5.642
-1.155 2.465 9.975
4.332 6.799 5.642

---

4.
CaVGe2O6, optimized geometry, DFT PBEsol; SG = C2/c; magnetization = 5.5 Bohr magnetons per cell; formation energy (no corrections) = -2.03 eV/atom; DOS(E_F) = 3.7 states/eV/f.u.
1.0
5.130 -4.427 0.000
5.130 4.427 0.000
-1.378 0.000 5.257
Ca V Ge O
2 2 4 12
Cartesian
4.096 2.720 3.943
4.785 -2.720 1.314
4.785 0.764 1.314
4.096 -0.764 3.943
1.114 0.901 4.111
1.803 -0.901 1.482
7.079 0.901 3.775
7.768 -0.901 1.146
1.385 0.293 0.156
3.285 2.052 1.825
0.696 -0.293 2.784
2.824 0.814 4.570
6.285 2.052 0.804
3.513 -0.814 1.941
5.369 0.814 3.315
2.596 -2.052 4.453
6.058 -0.814 0.687
8.185 0.293 2.473
5.596 -2.052 3.432
7.496 -0.293 5.101

---

5.
Ca3V2Ge3O12, optimized geometry, DFT PBEsol; SG = Ia-3d; magnetization = 16.0 Bohr magnetons per cell; formation energy (no corrections) = -2.36 eV/atom; DOS(E_F) = 13.3 states/eV/f.u.
1.0
-6.150 6.150 6.150
6.150 -6.150 6.150
6.150 6.150 -6.150
Ca V Ge O
12 8 12 48
Cartesian
3.075 1.538 0.000
6.150 3.075 -1.538
1.538 0.000 3.075
7.688 0.000 3.075
0.000 3.075 1.538
3.075 -1.538 6.150
3.075 7.688 0.000
6.150 3.075 4.613
-1.538 6.150 3.075
4.613 6.150 3.075
0.000 3.075 7.688
3.075 4.613 6.150
0.000 0.000 0.000
3.075 3.075 -3.075
3.075 -3.075 3.075
6.150 0.000 0.000
-3.075 3.075 3.075
0.000 6.150 0.000
0.000 0.000 6.150
3.075 3.075 3.075
9.225 1.538 0.000
6.150 -3.075 4.613
4.613 6.150 -3.075
4.613 0.000 3.075
3.075 4.613 0.000
6.150 3.075 1.538
0.000 3.075 4.613
3.075 1.538 6.150
1.538 6.150 3.075
1.538 0.000 9.225
0.000 9.225 1.538
-3.075 4.613 6.150
1.855 -0.412 0.629
7.370 3.705 -3.487
8.006 0.412 0.629
7.370 -2.446 3.487
5.738 -0.629 1.855
9.637 -1.220 2.446
0.629 1.855 -0.412
8.596 2.663 -1.220
3.705 3.487 -1.220
5.521 1.855 0.412
-0.412 0.629 1.855
3.487 -1.220 3.705
5.738 5.521 -1.855
3.487 1.220 2.446
3.705 -3.487 7.370
5.521 -1.855 5.738
2.446 3.487 1.220
6.780 4.295 0.412
3.487 7.370 -2.446
5.738 0.629 4.295
1.855 5.738 -0.629
7.370 2.446 2.663
1.220 2.446 3.487
1.855 0.412 5.521
4.295 5.738 0.629
4.930 3.705 2.663
-1.220 3.705 3.487
4.295 0.412 6.780
0.412 5.521 1.855
2.663 -1.220 8.596
-0.629 1.855 5.738
3.705 2.663 4.930
0.629 8.006 0.412
2.446 9.637 -1.220
2.663 4.930 3.705
0.412 0.629 8.006
2.663 7.370 2.446
6.562 5.521 4.295
0.629 4.295 5.738
2.446 2.663 7.370
-2.446 3.487 7.370
5.521 4.295 6.562
-3.487 7.370 3.705
0.412 6.780 4.295
-1.220 8.596 2.663
-1.855 5.738 5.521
-1.220 2.446 9.637
4.295 6.562 5.521

---

6.
CaGe2WO6, optimized geometry, DFT PBEsol; SG = C2/c; magnetization = 0.0 Bohr magnetons per cell; formation energy (no corrections) = -1.99 eV/atom; DOS(E_F) = 0.0 states/eV/f.u.
1.0
7.113 -4.237 0.000
7.113 4.237 0.000
-1.230 0.000 5.158
Ca Ge W O
2 4 2 12
Cartesian
6.191 2.921 3.869
6.806 -2.921 1.290
1.614 0.876 4.209
2.230 -0.876 1.630
10.767 0.876 3.529
11.382 -0.876 0.949
6.806 0.766 1.290
6.191 -0.766 3.869
1.508 0.223 0.208
0.893 -0.223 2.787
5.458 1.972 1.628
5.085 0.751 4.562
8.153 1.972 0.951
7.296 0.751 3.175
5.701 -0.751 1.983
4.843 -1.972 4.207
7.911 -0.751 0.596
7.538 -1.972 3.530
12.104 0.223 2.371
11.489 -0.223 4.950

---

7.
CaGe3Os, optimized geometry, DFT PBEsol; ΔE_f = 2.137 eV per atom; SG = Pm-3m; magnetization = 1.8 Bohr magnetons per cell; DOS(E_F) = 7.1 states/eV/f.u.
1.0
4.941 0.000 0.000
0.000 4.941 0.000
0.000 0.000 4.941
Ca Ge Os
1 3 1
Cartesian
0.000 0.000 0.000
0.000 0.000 2.470
0.000 2.470 0.000
2.470 0.000 0.000
2.470 2.470 2.470

---

8.
CaGe3Os, optimized geometry, DFT PBEsol; ΔE_f = 0.162 eV per atom; SG = Pm-3m; magnetization = 0.0 Bohr magnetons per cell; DOS(E_F) = 5.4 states/eV/f.u.
1.0
4.809 0.000 0.000
0.000 4.809 0.000
0.000 0.000 4.809
Ca Ge Os
1 3 1
Cartesian
0.000 0.000 0.000
0.000 2.405 2.405
2.405 0.000 2.405
2.405 2.405 0.000
2.405 2.405 2.405

---

9.
Ca3GeOs, optimized geometry, DFT PBEsol; ΔE_f = 0.881 eV per atom; SG = Pm-3m; magnetization = 2.1 Bohr magnetons per cell; DOS(E_F) = 7.7 states/eV/f.u.
1.0
5.414 0.000 0.000
0.000 5.414 0.000
0.000 0.000 5.414
Ca Ge Os
3 1 1
Cartesian
0.000 0.000 2.707
0.000 2.707 0.000
2.707 0.000 0.000
0.000 0.000 0.000
2.707 2.707 2.707

---

10.
Ca3Ge2P4, optimized geometry, DFT PBEsol; ΔE_f = -0.807 eV per atom; SG = P2_1/c; magnetization = 0.0 Bohr magnetons per cell
1.0
7.052 0.000 0.000
0.000 17.304 0.000
-2.586 0.000 6.501
Ca Ge P
12 8 16
Cartesian
1.489 3.168 0.074
0.195 5.484 3.324
0.489 1.052 3.329
1.782 7.600 0.079
0.548 9.697 3.276
1.841 16.259 0.025
2.625 1.045 6.476
3.918 7.607 3.225
2.684 9.704 6.423
3.977 16.251 3.172
4.270 11.820 3.177
2.977 14.135 6.428
1.392 10.818 0.194
0.099 15.137 3.445
-0.115 12.850 5.951
1.178 13.106 2.700
3.288 4.198 3.801
4.581 4.454 0.550
4.367 2.166 3.056
3.074 6.485 6.307
-1.913 9.653 4.857
-0.620 16.303 1.606
-0.350 11.856 1.449
-1.644 14.100 4.699
1.435 3.397 5.018
2.728 5.254 1.767
2.852 1.140 1.645
1.558 7.512 4.896
2.907 9.792 1.605
1.614 16.163 4.856
1.738 12.049 4.734
3.031 13.906 1.483
6.109 3.204 1.802
4.816 5.448 5.053
5.086 1.001 4.895
6.379 7.651 1.644

---

11.
CaScGe2P, optimized geometry, DFT PBEsol; ΔE_f = 0.182 eV per atom; SG = P4/mmm; magnetization = 0.3 Bohr magnetons per cell; DOS(E_F) = 4.2 states/eV/f.u.
1.0
4.819 0.000 0.000
0.000 4.819 0.000
0.000 0.000 5.016
Ca Sc Ge P
1 1 2 1
Cartesian
0.000 0.000 0.000
2.410 2.410 0.000
0.000 2.410 2.508
2.410 0.000 2.508
0.000 0.000 2.508

---

12.
Ca2GePSe, optimized geometry, DFT PBEsol; SG = P4/mmm; magnetization = 0.6 Bohr magnetons per cell; formation energy (no corrections) = 0.00 eV/atom; DOS(E_F) = 5.2 states/eV/f.u.
1.0
5.550 0.000 0.000
0.000 5.550 0.000
0.000 0.000 4.705
Ca Ge P Se
2 1 1 1
Cartesian
0.000 2.775 0.000
2.775 0.000 0.000
0.000 0.000 0.000
2.775 2.775 2.352
0.000 0.000 2.352

---

13.
CaGePb3, optimized geometry, DFT PBEsol; ΔE_f = 0.872 eV per atom; SG = Pm-3m; magnetization = 0.0 Bohr magnetons per cell; DOS(E_F) = 6.0 states/eV/f.u.
1.0
5.677 0.000 0.000
0.000 5.677 0.000
0.000 0.000 5.677
Ca Ge Pb
1 1 3
Cartesian
0.000 0.000 0.000
2.839 2.839 2.839
0.000 0.000 2.839
0.000 2.839 0.000
2.839 0.000 0.000